No. 1
TaBr | PBE | optimized geometry

Output
E_form (uncorrected) = 435 meV/atom
N(E_F) = 3.60 states/eV/cell
Total moment = 0.000 μB per atom
Theoretical density = 9.79 g cm⁻³

a = 8.3566 Å, b = 3.1791 Å, c = 6.6651 Å
α = 90.00°, β = 90.00°, γ = 90.00°
Space group Pnma (No. 62)
One atom of each set of equivalent atoms:
Ta (0.0463, 0.2500, 0.1435)
Br (0.1822, 0.2500, 0.5899)


No. 2
Na3Ac3TiSe8 | PBE | optimized geometry

Output
E_form (uncorrected) = -1549 meV/atom
Total moment = 0.000 μB per atom
Theoretical density = 5.10 g cm⁻³

a = 8.7425 Å, b = 8.7425 Å, c = 21.0812 Å
α = 90.00°, β = 90.00°, γ = 120.00°
Space group R-3m (No. 166, hexagonal axes)
One atom of each set of equivalent atoms:
Na (0.0000, 0.5000, 0.0000)
Ac (0.0000, 0.5000, 0.5000)
Ti (0.0000, 0.0000, 0.5000)
Se (0.0000, 0.0000, 0.2503)
Se (0.0461, 0.5231, 0.2391)


No. 3
NaU2Se4 | PBE | optimized geometry

Output
E_form (uncorrected) = -1142 meV/atom
N(E_F) = 45.13 states/eV/cell
Total moment = 0.714 μB per atom
E above lowest polymorph = 35 meV/atom
Theoretical density = 6.94 g cm⁻³

a = 4.0961 Å, b = 13.5271 Å, c = 14.0712 Å
α = 90.00°, β = 90.00°, γ = 90.00°
Space group Cmcm (No. 63)
One atom of each set of equivalent atoms:
Na (0.0000, 0.1070, 0.2500)
U (0.0000, 0.3655, 0.0682)
Se (0.0000, 0.0000, 0.0000)
Se (0.0000, 0.2718, 0.6153)
Se (0.0000, 0.4465, 0.2500)